[1]
The following is a PBE+U calculation of a geometry-optimized NaCo2O3 structure, from Alexandria.

Output
E_tot in eV per atom: -5.548
M_tot in Bohr magnetons per cell: 14.01
SG: P2_1, No. 4

a b c (Å): 5.878 5.159 5.967
angles (deg): 90.00 119.16 90.00
Fractional coordinates of all 12 atoms:
Na  0.002  0.000  0.172
Na  0.998  0.500  0.828
Co  0.332  0.486  0.506
Co  0.337  0.976  0.826
Co  0.663  0.476  0.174
Co  0.668  0.986  0.494
O  0.015  0.530  0.224
O  0.386  0.111  0.543
O  0.393  0.592  0.831
O  0.607  0.092  0.169
O  0.614  0.611  0.457
O  0.985  0.030  0.776

[2]
The following is a PBE+U calculation of a geometry-optimized Na2Co6O7 structure, from Alexandria.

Output
E_tot in eV per atom: -5.558
M_tot in Bohr magnetons per cell: 36.03
SG: P4_2nm, No. 102

a b c (Å): 10.805 10.805 3.323
angles (deg): 90.00 90.00 90.00
Fractional coordinates of all 30 atoms:
Na  0.122  0.122  0.000
Na  0.378  0.622  0.500
Na  0.622  0.378  0.500
Na  0.878  0.878  0.000
Co  0.091  0.651  0.990
Co  0.125  0.875  0.492
Co  0.151  0.409  0.490
Co  0.349  0.909  0.990
Co  0.375  0.375  0.992
Co  0.409  0.151  0.490
Co  0.591  0.849  0.490
Co  0.625  0.625  0.992
Co  0.651  0.091  0.990
Co  0.849  0.591  0.490
Co  0.875  0.125  0.492
Co  0.909  0.349  0.990
O  0.000  0.000  0.499
O  0.004  0.305  0.490
O  0.195  0.504  0.990
O  0.196  0.804  0.992
O  0.304  0.304  0.492
O  0.305  0.004  0.490
O  0.496  0.805  0.990
O  0.500  0.500  0.999
O  0.504  0.195  0.990
O  0.695  0.996  0.490
O  0.696  0.696  0.492
O  0.804  0.196  0.992
O  0.805  0.496  0.990
O  0.996  0.695  0.490

[3]
The following is a PBE+U calculation of a geometry-optimized Na3CoO3 structure, from Alexandria.

Output
E_tot in eV per atom: -4.741
Relative energy among the computed polymorphs in meV per atom: 0.0
N(E_F) in states/eV per atom: 0.00
M_tot in Bohr magnetons per cell: 7.95
SG: P-1, No. 2

a b c (Å): 5.792 5.955 6.399
angles (deg): 64.30 89.19 85.47
Fractional coordinates of all 14 atoms:
Na  0.062  0.246  0.255
Na  0.358  0.731  0.020
Na  0.435  0.734  0.551
Na  0.565  0.266  0.449
Na  0.642  0.269  0.980
Na  0.938  0.754  0.745
Co  0.141  0.310  0.688
Co  0.859  0.690  0.312
O  0.191  0.578  0.373
O  0.242  0.031  0.655
O  0.254  0.405  0.897
O  0.746  0.595  0.103
O  0.758  0.969  0.345
O  0.809  0.422  0.627

[4]
The following is a PBE+U calculation of a geometry-optimized Na5CoO4 structure, from Alexandria.

Output
E_tot in eV per atom: -4.436
Relative energy among the computed polymorphs in meV per atom: 4.4
N(E_F) in states/eV per atom: 0.00
M_tot in Bohr magnetons per cell: 8.11
SG: Pmn2_1, No. 31

a b c (Å): 7.674 6.084 5.946
angles (deg): 90.00 90.00 90.00
Fractional coordinates of all 20 atoms:
Na  0.000  0.174  0.000
Na  0.184  0.567  0.684
Na  0.200  0.114  0.501
Na  0.300  0.886  0.001
Na  0.316  0.433  0.184
Na  0.500  0.826  0.500
Na  0.684  0.433  0.184
Na  0.700  0.886  0.001
Na  0.800  0.114  0.501
Na  0.816  0.567  0.684
Co  0.000  0.675  0.250
Co  0.500  0.325  0.750
O  0.000  0.373  0.352
O  0.000  0.754  0.944
O  0.221  0.770  0.355
O  0.279  0.230  0.855
O  0.500  0.246  0.444
O  0.500  0.627  0.852
O  0.721  0.230  0.855
O  0.779  0.770  0.355